## w
GaBi2H, relaxed, DFT PBE; Fermi-level density of states = 0.453 states/eV/atom
1.0
-2.9915 2.9915 5.6950
2.9915 -2.9915 5.6950
2.9915 2.9915 -5.6950
Ga Bi H
2 4 2
Cartesian
0.0000 0.0000 0.0000
0.0000 2.9915 2.8475
1.4957 -1.0174 4.2713
1.9741 1.4957 1.4238
1.4957 4.0089 -1.4238
1.0174 1.4957 7.1188
2.9915 0.0000 2.8475
0.0000 0.0000 5.6950

## x
GaBi2H, relaxed, DFT PBE; Fermi-level density of states = 0.490 states/eV/atom
1.0
0.0000 3.5222 3.5222
3.5222 0.0000 3.5222
3.5222 3.5222 0.0000
Ga Bi H
1 2 1
Cartesian
0.0000 0.0000 0.0000
1.7611 1.7611 1.7611
5.2833 5.2833 5.2833
3.5222 3.5222 3.5222

Name the least stable of them. x.

## w
Li2GaBiH, relaxed, DFT PBE; Fermi-level density of states = 0.134 states/eV/atom
1.0
4.2580 0.0000 0.0000
0.0000 4.2580 0.0000
0.0000 0.0000 4.6370
Li Ga Bi H
2 1 1 1
Cartesian
0.0000 2.1290 0.0000
2.1290 0.0000 0.0000
0.0000 0.0000 2.3185
2.1290 2.1290 2.3185
0.0000 0.0000 0.0000

## x
Li2GaBiH, relaxed, DFT PBE; Fermi-level density of states = 0.208 states/eV/atom
1.0
4.5408 0.0000 0.0000
0.0000 4.5408 0.0000
0.0000 0.0000 4.3358
Li Ga Bi H
2 1 1 1
Cartesian
0.0000 2.2704 0.0000
2.2704 0.0000 0.0000
0.0000 0.0000 2.1679
2.2704 2.2704 2.1679
2.2704 2.2704 0.0000

Name the least stable of them. x.

## w
Hf3GaBi, relaxed, DFT PBE; Fermi-level density of states = 1.561 states/eV/atom
1.0
5.3409 0.0000 0.0000
0.0000 5.3409 0.0000
0.0000 0.0000 5.3409
Hf Ga Bi
3 1 1
Cartesian
0.0000 0.0000 2.6705
0.0000 2.6705 0.0000
2.6705 0.0000 0.0000
2.6705 2.6705 2.6705
0.0000 0.0000 0.0000

## x
Hf3GaBi, relaxed, DFT PBE; Fermi-level density of states = 0.519 states/eV/atom
1.0
7.5939 -2.7942 0.0000
7.5939 2.7942 0.0000
-2.1825 0.0000 10.2551
Hf Ga Bi
12 4 4
Cartesian
-0.1782 0.1651 7.9012
0.9130 -0.1651 2.7736
4.5281 1.3952 10.0942
2.9348 0.1781 7.4839
7.3859 1.3952 5.2885
4.0261 -0.1781 2.3563
8.9791 0.1781 7.8988
5.6193 -1.3952 4.9666
10.0704 -0.1781 2.7712
8.4771 -1.3952 0.1609
12.0922 0.1651 7.4815
13.1834 -0.1651 2.3539
3.7969 1.3971 0.0000
5.9570 0.1145 7.6913
2.7057 -1.3971 5.1276
7.0482 -0.1145 2.5638
4.3950 1.3831 4.9354
9.7014 1.3831 0.1921
3.3038 -1.3831 10.0630
8.6102 -1.3831 5.3197

Name the least stable of them. w.

## w
HfGaBi3, relaxed, DFT PBE; Fermi-level density of states = 0.644 states/eV/atom
1.0
5.6612 0.0000 0.0000
0.0000 5.6612 0.0000
0.0000 0.0000 5.6612
Hf Ga Bi
1 1 3
Cartesian
0.0000 0.0000 0.0000
2.8306 2.8306 2.8306
0.0000 0.0000 2.8306
0.0000 2.8306 0.0000
2.8306 0.0000 0.0000

## x
HfGaBi3, relaxed, DFT PBE; Fermi-level density of states = 1.227 states/eV/atom
1.0
5.3820 0.0000 0.0000
0.0000 5.3820 0.0000
0.0000 0.0000 5.3820
Hf Ga Bi
1 1 3
Cartesian
0.0000 0.0000 0.0000
2.6910 2.6910 2.6910
0.0000 2.6910 2.6910
2.6910 0.0000 2.6910
2.6910 2.6910 0.0000

Name the least stable of them. x.

## w
LiGaHgBi, relaxed, DFT PBE; Fermi-level density of states = 0.978 states/eV/atom
1.0
0.0000 3.6175 3.6175
3.6175 0.0000 3.6175
3.6175 3.6175 0.0000
Li Ga Hg Bi
1 1 1 1
Cartesian
0.0000 0.0000 0.0000
3.6175 3.6175 3.6175
1.8088 1.8088 1.8088
5.4263 5.4263 5.4263

## x
LiGaHgBi, relaxed, DFT PBE; Fermi-level density of states = 0.390 states/eV/atom
1.0
4.7325 -2.3868 0.0000
4.7325 2.3868 0.0000
-2.3873 0.0000 4.1346
Li Ga Hg Bi
1 1 1 1
Cartesian
0.0000 0.0000 0.0000
3.5360 0.0000 2.0726
0.5731 0.0000 3.1057
6.5006 0.0000 1.0363

Name the least stable of them. w.

## w
GaHgBiPb, relaxed, DFT PBE; Fermi-level density of states = 0.739 states/eV/atom
1.0
0.0000 3.8537 3.8537
3.8537 0.0000 3.8537
3.8537 3.8537 0.0000
Ga Hg Bi Pb
1 1 1 1
Cartesian
0.0000 0.0000 0.0000
1.9268 1.9268 1.9268
5.7805 5.7805 5.7805
3.8537 3.8537 3.8537

## x
GaHgBiPb, relaxed, DFT PBE; Fermi-level density of states = 0.453 states/eV/atom
1.0
4.7833 0.0000 0.0000
0.0000 4.7833 0.0000
0.0000 0.0000 9.8227
Ga Hg Bi Pb
2 2 2 2
Cartesian
1.1958 3.5875 0.0000
3.5875 1.1958 0.0000
1.1958 3.5875 4.9113
3.5875 1.1958 4.9113
1.1958 1.1958 1.9321
3.5875 3.5875 7.8905
1.1958 1.1958 7.2113
3.5875 3.5875 2.6114

Name the least stable of them. w.

## w
HoGaBi, relaxed, DFT PBE; Fermi-level density of states = 0.608 states/eV/atom
1.0
6.7401 0.0000 0.0000
-3.3701 5.8371 0.0000
0.0000 0.0000 12.7752
Ho Ga Bi
6 6 6
Cartesian
-1.6850 2.9186 4.9088
-1.6850 2.9186 12.1248
3.3701 0.0000 3.6080
3.3701 0.0000 9.1671
1.6850 2.9186 0.6504
1.6850 2.9186 7.8664
-0.6460 3.5184 2.1292
0.6460 3.5184 10.6460
0.0000 4.6374 6.3876
3.3701 1.1998 6.3876
2.7241 2.3187 10.6460
4.0161 2.3187 2.1292
0.0000 0.0000 2.1292
0.0000 0.0000 6.3876
0.0000 0.0000 10.6460
-1.6850 2.9186 8.5168
3.3701 0.0000 0.0000
1.6850 2.9186 4.2584

## x
HoGaBi, relaxed, DFT PBE; Fermi-level density of states = 0.601 states/eV/atom
1.0
4.9457 0.0000 0.0000
-2.4729 4.2831 0.0000
0.0000 0.0000 3.7794
Ho Ga Bi
1 1 1
Cartesian
0.0000 0.0000 0.0000
2.4729 1.4277 1.3094
0.0000 2.8554 2.0597

## y
HoGaBi, relaxed, DFT PBE; Fermi-level density of states = 1.065 states/eV/atom
1.0
-1.8615 1.8615 5.5544
1.8615 -1.8615 5.5544
1.8615 1.8615 -5.5544
Ho Ga Bi
1 1 1
Cartesian
0.0000 0.0000 0.0000
0.0000 0.0000 3.9467
0.0000 0.0000 7.6750

Name the least stable of them. w.

## w
GaBiI, relaxed, DFT PBE; Fermi-level density of states = 0.285 states/eV/atom
1.0
3.6993 0.0000 0.0000
-0.0046 4.4965 0.0000
-0.0258 -0.0405 7.1387
Ga Bi I
1 1 1
Cartesian
0.0000 0.0000 0.0000
-0.0007 2.2485 1.6171
1.8196 4.4552 5.1399

## x
An optimized crystal structure of GaBiI. Source: Alexandria via LeMat-Bulk, functional PBE.

POSCAR file:
```
GaBiI
1.0
4.6546 0.0000 0.0000
-0.0023 7.0232 0.0000
-0.6894 -3.4797 7.0925
Ga Bi I
2 2 2
Cartesian
0.0000 0.0000 0.0000
0.5300 3.5430 4.6827
2.4110 1.6035 0.2303
2.7749 -1.8754 4.4583
0.7800 1.0390 3.7913
4.4001 4.5221 0.9008
```

Name the least stable of them. w.